# V9Ni11Pt4 (GGA-PBE, relaxed)
data_V9Ni11Pt4
_chemical_formula_sum 'V18 Ni22 Pt8'
_cell_length_a 12.386
_cell_length_b 18.607
_cell_length_c 2.632
_cell_angle_alpha 90.00
_cell_angle_beta 90.00
_cell_angle_gamma 90.00
_symmetry_space_group_name_H-M 'C m m m'
_symmetry_Int_Tables_number 65
_symmetry_space_group_name_Hall '-C 2 2'
loop_
_atom_site_label
_atom_site_fract_x
_atom_site_fract_y
_atom_site_fract_z
_atom_site_occupancy
V1 0.000 0.000 0.000 1
V2 0.106 0.404 0.000 1
V3 0.116 0.217 0.000 1
Ni1 0.000 0.127 0.500 1
Ni2 0.000 0.308 0.500 1
Ni3 0.000 0.500 0.500 1
Ni4 0.196 0.500 0.500 1
Ni5 0.210 0.312 0.500 1
Pt1 0.171 0.084 0.000 1
# ΔE_f: -0.21 eV/atom
# magnetic moment: 2.433 Bohr magnetons per cell
# energy: -7.2833 eV per atom